Record 1
First-principles (GGA-PBEsol) data for a relaxed KH3Au crystal, as listed in Alexandria.

Values from the calculation:
Size of the total moment in μB per atom: 0.000
Energy relative to the lowest polymorph listed for this composition in eV per formula unit: 0.00
E in eV/f.u.: -15.779

Structure (CIF):
```
data_KH3Au
_chemical_formula_sum 'K8 H24 Au8'
_cell_length_a 8.1598
_cell_length_b 11.8923
_cell_length_c 5.7043
_cell_angle_alpha 90.00
_cell_angle_beta 90.18
_cell_angle_gamma 90.00
_symmetry_space_group_name_H-M 'C 1 2/c 1'
_symmetry_Int_Tables_number 15
loop_
_symmetry_equiv_pos_as_xyz
'x,y,z'
'-x,-y,-z'
'-x,y,-z+1/2'
'x,-y,z+1/2'
'x+1/2,y+1/2,z'
'-x+1/2,-y+1/2,-z'
'-x+1/2,y+1/2,-z+1/2'
'x+1/2,-y+1/2,z+1/2'
loop_
_atom_site_label
_atom_site_fract_x
_atom_site_fract_y
_atom_site_fract_z
_atom_site_occupancy
K1 0.2450 0.1138 0.2499 1
H1 0.9995 0.0615 0.5541 1
H2 0.9995 0.2613 0.5365 1
H3 0.2044 0.3782 0.2506 1
Au1 0.0000 0.1632 0.7500 1
Au2 0.0000 0.3734 0.2500 1
```

=====

Record 2
First-principles (GGA-PBEsol) data for a relaxed LiSe2N2 crystal, as listed in Alexandria.

Values from the calculation:
Size of the total moment in μB per atom: 0.000
E in eV/f.u.: -17.605

Structure (CIF):
```
data_LiSe2N2
_chemical_formula_sum 'Li1 Se2 N2'
_cell_length_a 4.4225
_cell_length_b 4.4225
_cell_length_c 3.2728
_cell_angle_alpha 90.00
_cell_angle_beta 90.00
_cell_angle_gamma 90.00
_symmetry_space_group_name_H-M 'P 4/m m m'
_symmetry_Int_Tables_number 123
_symmetry_space_group_name_Hall '-P 4 2'
loop_
_atom_site_label
_atom_site_fract_x
_atom_site_fract_y
_atom_site_fract_z
_atom_site_occupancy
Li1 0.0000 0.0000 0.0000 1
Se1 0.0000 0.5000 0.0000 1
N1 0.0000 0.0000 0.5000 1
N2 0.5000 0.5000 0.5000 1
```

=====

Record 3
First-principles (GGA-PBEsol) data for a relaxed Li3Cu crystal, as listed in Alexandria.

Values from the calculation:
Size of the total moment in μB per atom: 0.000
E in eV/f.u.: -9.957
Energy of formation from the pure elements in eV per atom: 0.0693

Structure (CIF):
```
data_Li3Cu
_chemical_formula_sum 'Li6 Cu2'
_cell_length_a 5.4686
_cell_length_b 7.8515
_cell_length_c 2.6605
_cell_angle_alpha 90.00
_cell_angle_beta 90.00
_cell_angle_gamma 90.00
_symmetry_space_group_name_H-M 'C m m m'
_symmetry_Int_Tables_number 65
_symmetry_space_group_name_Hall '-C 2 2'
loop_
_atom_site_label
_atom_site_fract_x
_atom_site_fract_y
_atom_site_fract_z
_atom_site_occupancy
Li1 0.0000 0.0000 0.0000 1
Li2 0.2500 0.2500 0.5000 1
Cu1 0.0000 0.5000 0.0000 1
```

=====

Record 4
First-principles (GGA-PBEsol) data for a relaxed K2ReNi crystal, as listed in Alexandria.

Values from the calculation:
Size of the total moment in μB per atom: 0.000
Energy relative to the lowest polymorph listed for this composition in eV per formula unit: 0.00
E in eV/f.u.: -18.596
Energy of formation from the pure elements in eV per atom: 0.7900

Structure (CIF):
```
data_K2ReNi
_chemical_formula_sum 'K2 Re1 Ni1'
_cell_length_a 2.7023
_cell_length_b 3.8168
_cell_length_c 10.1220
_cell_angle_alpha 90.00
_cell_angle_beta 90.19
_cell_angle_gamma 90.00
_symmetry_space_group_name_H-M 'P 1 m 1'
_symmetry_Int_Tables_number 6
loop_
_symmetry_equiv_pos_as_xyz
'x,y,z'
'x,-y,z'
loop_
_atom_site_label
_atom_site_fract_x
_atom_site_fract_y
_atom_site_fract_z
_atom_site_occupancy
K1 0.0000 0.0000 0.0000 1
K2 0.4321 0.5000 0.5684 1
Re1 0.9312 0.0000 0.3150 1
Ni1 0.4349 0.5000 0.2389 1
```

=====

Record 5
First-principles (GGA-PBEsol) data for a relaxed Ho2Fe17C3 crystal, as listed in Alexandria.

Values from the calculation:
Size of the total moment in μB per atom: 1.397
E in eV/f.u.: -193.312
Energy of formation from the pure elements in eV per atom: -0.0955

Structure (CIF):
```
data_Ho2Fe17C3
_chemical_formula_sum 'Ho6 Fe51 C9'
_cell_length_a 8.4368
_cell_length_b 8.4368
_cell_length_c 12.2514
_cell_angle_alpha 90.00
_cell_angle_beta 90.00
_cell_angle_gamma 120.00
_symmetry_space_group_name_H-M 'R -3 m'
_symmetry_Int_Tables_number 166
_symmetry_space_group_name_Hall '-R 3 2"'
loop_
_atom_site_label
_atom_site_fract_x
_atom_site_fract_y
_atom_site_fract_z
_atom_site_occupancy
Ho1 0.0000 0.0000 0.1567 1
Fe1 0.0000 0.0000 0.4043 1
Fe2 0.0000 0.2825 0.5000 1
Fe3 0.0000 0.5000 0.0000 1
Fe4 0.0054 0.5027 0.3472 1
C1 0.0000 0.5000 0.5000 1
```

=====

Record 6
First-principles (GGA-PBEsol) data for a relaxed CaAlAg4 crystal, as listed in Alexandria.

Values from the calculation:
Size of the total moment in μB per atom: 0.000
E in eV/f.u.: -20.287
Energy of formation from the pure elements in eV per atom: -0.1363

Structure (CIF):
```
data_CaAlAg4
_chemical_formula_sum 'Ca4 Al4 Ag16'
_cell_length_a 7.7090
_cell_length_b 7.7090
_cell_length_c 7.7090
_cell_angle_alpha 90.00
_cell_angle_beta 90.00
_cell_angle_gamma 90.00
_symmetry_space_group_name_H-M 'F -4 3 m'
_symmetry_Int_Tables_number 216
_symmetry_space_group_name_Hall 'F -4 2 3'
loop_
_atom_site_label
_atom_site_fract_x
_atom_site_fract_y
_atom_site_fract_z
_atom_site_occupancy
Ca1 0.0000 0.0000 0.0000 1
Al1 0.2500 0.2500 0.7500 1
Ag1 0.1246 0.1246 0.3754 1
```